# 1
The following is a PBE-GGA calculation of a relaxed structure of ScMn4Si, from the Alexandria database.

* raw formation energy: -0.071 eV/atom
* crystal system: cubic
* raw total energy: -8.14 eV per atom
* space group: No. 216
* size of the total moment: 0.204 μB/atom

```
ScMn4Si
1.0
0.000 3.357 3.357
3.357 0.000 3.357
3.357 3.357 0.000
Sc Mn Si
1 4 1
Direct
0.000 0.000 0.000 Sc
0.376 0.376 0.376 Mn
0.376 0.376 0.871 Mn
0.376 0.871 0.376 Mn
0.871 0.376 0.376 Mn
0.750 0.750 0.750 Si
```

***

# 2
The following is a PBE-GGA calculation of a relaxed structure of ScMn3Si, from the Alexandria database.

* raw formation energy: 1.478 eV/atom
* crystal system: cubic
* raw total energy: -6.37 eV per atom
* energy relative to the lowest polymorph listed for this composition: 1172 meV/atom
* space group: No. 221
* size of the total moment: 1.894 μB/atom

```
ScMn3Si
1.0
4.595 0.000 0.000
0.000 4.595 0.000
0.000 0.000 4.595
Sc Mn Si
1 3 1
Direct
0.000 0.000 0.000 Sc
0.000 0.000 0.500 Mn
0.000 0.500 0.000 Mn
0.500 0.000 0.000 Mn
0.500 0.500 0.500 Si
```

***

# 3
The following is a PBE-GGA calculation of a relaxed structure of Sc2MnSi, from the Alexandria database.

* raw formation energy: -0.256 eV/atom
* crystal system: tetragonal
* raw total energy: -7.07 eV per atom
* space group: No. 99
* size of the total moment: 0.000 μB/atom

```
Sc2MnSi
1.0
3.078 0.000 0.000
0.000 3.078 0.000
0.000 0.000 7.337
Sc Mn Si
2 1 1
Direct
0.000 0.000 0.000 Sc
0.500 0.500 0.374 Sc
0.500 0.500 0.764 Mn
0.000 0.000 0.625 Si
```

***

The lowest raw formation energy belongs to which entry? Sc2MnSi